# 1
# Y2ZnCu PBE-GGA relaxed
data_Y2ZnCu
_space_group_name_H-M_alt 'P 1'
_space_group_IT_number 1
_space_group_name_Hall 'P 1'
_cell_length_a 6.401
_cell_length_b 6.401
_cell_length_c 6.401
_cell_angle_alpha 107.36
_cell_angle_beta 107.36
_cell_angle_gamma 113.79
loop_
_atom_site_label
_atom_site_type_symbol
_atom_site_fract_x
_atom_site_fract_y
_atom_site_fract_z
Y1 Y 0.106 0.625 0.981
Y2 Y 0.375 0.356 0.481
Y3 Y 0.644 0.125 0.019
Y4 Y 0.875 0.894 0.519
Zn1 Zn 0.250 0.750 0.500
Zn2 Zn 0.500 0.500 0.000
Cu1 Cu 0.000 0.000 0.000
Cu2 Cu 0.750 0.250 0.500
# DOS(E_F) (states/eV/atom): 1.35
# Volume (Å³/atom): 25.12
# Calculated formation energy (meV per atom): 107
# Total magnetization (μB per formula unit): 0.000
# Symmetry: I-42d

---

# 2
# Sm8GeS5 PBE-GGA relaxed
data_Sm8GeS5
_space_group_name_H-M_alt 'P 1'
_space_group_IT_number 1
_space_group_name_Hall 'P 1'
_cell_length_a 7.814
_cell_length_b 7.814
_cell_length_c 7.814
_cell_angle_alpha 103.75
_cell_angle_beta 103.75
_cell_angle_gamma 121.65
loop_
_atom_site_label
_atom_site_type_symbol
_atom_site_fract_x
_atom_site_fract_y
_atom_site_fract_z
Sm1 Sm 0.059 0.391 0.247
Sm2 Sm 0.145 0.313 0.746
Sm3 Sm 0.145 0.812 0.753
Sm4 Sm 0.188 0.941 0.333
Sm5 Sm 0.568 0.399 0.254
Sm6 Sm 0.601 0.855 0.169
Sm7 Sm 0.609 0.855 0.667
Sm8 Sm 0.687 0.432 0.831
Ge1 Ge 0.750 0.250 0.500
S1 S 0.000 0.000 0.000
S2 S 0.145 0.625 0.022
S3 S 0.375 0.397 0.519
S4 S 0.603 0.122 0.978
S5 S 0.878 0.855 0.481
# Raw formation energy (meV per atom): -1467
# DOS(E_F) (states/eV/atom): 0.79
# Volume (Å³/atom): 25.33
# Total magnetization (μB per formula unit): 0.000
# Symmetry: I-4

---

# 3
# Ba2NiHPt PBE-GGA relaxed
data_Ba2NiHPt
_space_group_name_H-M_alt 'P 1'
_space_group_IT_number 1
_space_group_name_Hall 'P 1'
_cell_length_a 5.539
_cell_length_b 5.539
_cell_length_c 3.699
_cell_angle_alpha 90.00
_cell_angle_beta 90.00
_cell_angle_gamma 90.00
loop_
_atom_site_label
_atom_site_type_symbol
_atom_site_fract_x
_atom_site_fract_y
_atom_site_fract_z
Ba1 Ba 0.000 0.500 0.000
Ba2 Ba 0.500 0.000 0.000
Ni1 Ni 0.000 0.000 0.500
H1 H 0.000 0.000 0.000
Pt1 Pt 0.500 0.500 0.500
# Polymorph energy (0 for the lowest one) (meV/atom): 0
# DOS(E_F) (states/eV/atom): 0.08
# Volume (Å³/atom): 22.70
# Total magnetization (μB per formula unit): 0.000
# Symmetry: P4/mmm

---

# 4
# CsSiTe3 PBE-GGA relaxed
data_CsSiTe3
_space_group_name_H-M_alt 'P 1'
_space_group_IT_number 1
_space_group_name_Hall 'P 1'
_cell_length_a 5.543
_cell_length_b 5.543
_cell_length_c 5.543
_cell_angle_alpha 90.00
_cell_angle_beta 90.00
_cell_angle_gamma 90.00
loop_
_atom_site_label
_atom_site_type_symbol
_atom_site_fract_x
_atom_site_fract_y
_atom_site_fract_z
Cs1 Cs 0.000 0.000 0.000
Si1 Si 0.500 0.500 0.500
Te1 Te 0.000 0.500 0.500
Te2 Te 0.500 0.000 0.500
Te3 Te 0.500 0.500 0.000
# Raw formation energy (meV per atom): -110
# DOS(E_F) (states/eV/atom): 0.97
# Volume (Å³/atom): 34.06
# Total magnetization (μB per formula unit): 0.000
# Symmetry: Pm-3m

---

# 5
# YbCl3 PBE-GGA relaxed
data_YbCl3
_space_group_name_H-M_alt 'P 1'
_space_group_IT_number 1
_space_group_name_Hall 'P 1'
_cell_length_a 6.926
_cell_length_b 6.926
_cell_length_c 6.490
_cell_angle_alpha 100.52
_cell_angle_beta 100.52
_cell_angle_gamma 120.05
loop_
_atom_site_label
_atom_site_type_symbol
_atom_site_fract_x
_atom_site_fract_y
_atom_site_fract_z
Yb1 Yb 0.166 0.834 0.000
Yb2 Yb 0.834 0.166 0.000
Cl1 Cl 0.060 0.419 0.760
Cl2 Cl 0.222 0.222 0.244
Cl3 Cl 0.419 0.060 0.760
Cl4 Cl 0.581 0.940 0.240
Cl5 Cl 0.778 0.778 0.756
Cl6 Cl 0.940 0.581 0.240
# Raw formation energy (meV per atom): -1822
# DOS(E_F) (states/eV/atom): 2.72
# Volume (Å³/atom): 31.35
# Total magnetization (μB per formula unit): 1.058
# Symmetry: C2/m

---

# 6
# AlCd6Ag12 PBE-GGA relaxed
data_AlCd6Ag12
_space_group_name_H-M_alt 'P 1'
_space_group_IT_number 1
_space_group_name_Hall 'P 1'
_cell_length_a 7.163
_cell_length_b 7.163
_cell_length_c 7.163
_cell_angle_alpha 92.30
_cell_angle_beta 92.30
_cell_angle_gamma 92.30
loop_
_atom_site_label
_atom_site_type_symbol
_atom_site_fract_x
_atom_site_fract_y
_atom_site_fract_z
Al1 Al 0.000 0.000 0.000
Cd1 Cd 0.116 0.283 0.730
Cd2 Cd 0.270 0.884 0.717
Cd3 Cd 0.283 0.730 0.116
Cd4 Cd 0.717 0.270 0.884
Cd5 Cd 0.730 0.116 0.283
Cd6 Cd 0.884 0.717 0.270
Ag1 Ag 0.046 0.364 0.142
Ag2 Ag 0.142 0.046 0.364
Ag3 Ag 0.207 0.548 0.466
Ag4 Ag 0.364 0.142 0.046
Ag5 Ag 0.452 0.534 0.793
Ag6 Ag 0.466 0.207 0.548
Ag7 Ag 0.534 0.793 0.452
Ag8 Ag 0.548 0.466 0.207
Ag9 Ag 0.636 0.858 0.954
Ag10 Ag 0.793 0.452 0.534
Ag11 Ag 0.858 0.954 0.636
Ag12 Ag 0.954 0.636 0.858
# DOS(E_F) (states/eV/atom): 0.28
# Volume (Å³/atom): 19.30
# Calculated formation energy (meV per atom): 7
# Total magnetization (μB per formula unit): 0.000
# Symmetry: R-3

---

# 7
# LiMg2Pt PBE-GGA relaxed
data_LiMg2Pt
_space_group_name_H-M_alt 'P 1'
_space_group_IT_number 1
_space_group_name_Hall 'P 1'
_cell_length_a 9.616
_cell_length_b 9.616
_cell_length_c 9.616
_cell_angle_alpha 17.85
_cell_angle_beta 17.85
_cell_angle_gamma 17.85
loop_
_atom_site_label
_atom_site_type_symbol
_atom_site_fract_x
_atom_site_fract_y
_atom_site_fract_z
Li1 Li 0.000 0.000 0.000
Mg1 Mg 0.523 0.523 0.523
Mg2 Mg 0.758 0.758 0.758
Pt1 Pt 0.263 0.263 0.263
# Polymorph energy (0 for the lowest one) (meV/atom): 373
# DOS(E_F) (states/eV/atom): 0.47
# Volume (Å³/atom): 18.23
# Calculated formation energy (meV per atom): -265
# Total magnetization (μB per formula unit): 0.000
# Symmetry: R3m

---

# 8
# LiBeV PBE-GGA relaxed
data_LiBeV
_space_group_name_H-M_alt 'P 1'
_space_group_IT_number 1
_space_group_name_Hall 'P 1'
_cell_length_a 2.271
_cell_length_b 6.850
_cell_length_c 4.494
_cell_angle_alpha 90.00
_cell_angle_beta 90.00
_cell_angle_gamma 90.00
loop_
_atom_site_label
_atom_site_type_symbol
_atom_site_fract_x
_atom_site_fract_y
_atom_site_fract_z
Li1 Li 0.169 0.000 0.000
Li2 Li 0.831 0.000 0.500
Be1 Be 0.500 0.304 0.250
Be2 Be 0.500 0.696 0.750
V1 V 0.000 0.374 0.750
V2 V 0.000 0.626 0.250
# Polymorph energy (0 for the lowest one) (meV/atom): 14
# DOS(E_F) (states/eV/atom): 0.66
# Volume (Å³/atom): 11.65
# Calculated formation energy (meV per atom): 155
# Total magnetization (μB per formula unit): 0.000
# Symmetry: P222_1

---

# 9
# RbBa2NbTe PBE-GGA relaxed
data_RbBa2NbTe
_space_group_name_H-M_alt 'P 1'
_space_group_IT_number 1
_space_group_name_Hall 'P 1'
_cell_length_a 6.432
_cell_length_b 6.432
_cell_length_c 5.130
_cell_angle_alpha 90.00
_cell_angle_beta 90.00
_cell_angle_gamma 90.00
loop_
_atom_site_label
_atom_site_type_symbol
_atom_site_fract_x
_atom_site_fract_y
_atom_site_fract_z
Rb1 Rb 0.000 0.000 0.000
Ba1 Ba 0.000 0.500 0.000
Ba2 Ba 0.500 0.000 0.000
Nb1 Nb 0.000 0.000 0.500
Te1 Te 0.500 0.500 0.500
# Raw formation energy (meV per atom): 1110
# Polymorph energy (0 for the lowest one) (meV/atom): 719
# DOS(E_F) (states/eV/atom): 0.86
# Volume (Å³/atom): 42.45
# Total magnetization (μB per formula unit): 2.857
# Symmetry: P4/mmm

---

# 10
# Ac2SiF PBE-GGA relaxed
data_Ac2SiF
_space_group_name_H-M_alt 'P 1'
_space_group_IT_number 1
_space_group_name_Hall 'P 1'
_cell_length_a 8.636
_cell_length_b 8.636
_cell_length_c 8.636
_cell_angle_alpha 30.92
_cell_angle_beta 30.92
_cell_angle_gamma 30.92
loop_
_atom_site_label
_atom_site_type_symbol
_atom_site_fract_x
_atom_site_fract_y
_atom_site_fract_z
Ac1 Ac 0.099 0.099 0.099
Ac2 Ac 0.901 0.901 0.901
Si1 Si 0.500 0.500 0.500
F1 F 0.000 0.000 0.000
# Raw formation energy (meV per atom): -1519
# Polymorph energy (0 for the lowest one) (meV/atom): 0
# DOS(E_F) (states/eV/atom): 0.73
# Volume (Å³/atom): 37.70
# Total magnetization (μB per formula unit): 0.000
# Symmetry: R-3m

---

# 11
# Ti3TeC PBE-GGA relaxed
data_Ti3TeC
_space_group_name_H-M_alt 'P 1'
_space_group_IT_number 1
_space_group_name_Hall 'P 1'
_cell_length_a 5.036
_cell_length_b 5.036
_cell_length_c 5.036
_cell_angle_alpha 90.00
_cell_angle_beta 90.00
_cell_angle_gamma 90.00
loop_
_atom_site_label
_atom_site_type_symbol
_atom_site_fract_x
_atom_site_fract_y
_atom_site_fract_z
Ti1 Ti 0.000 0.000 0.500
Ti2 Ti 0.000 0.500 0.000
Ti3 Ti 0.500 0.000 0.000
Te1 Te 0.000 0.000 0.000
C1 C 0.500 0.500 0.500
# Raw formation energy (meV per atom): 1994
# Polymorph energy (0 for the lowest one) (meV/atom): 2676
# DOS(E_F) (states/eV/atom): 1.29
# Volume (Å³/atom): 25.55
# Total magnetization (μB per formula unit): 5.028
# Symmetry: Pm-3m

---

# 12
# Hf2SnMo PBE-GGA relaxed
data_Hf2SnMo
_space_group_name_H-M_alt 'P 1'
_space_group_IT_number 1
_space_group_name_Hall 'P 1'
_cell_length_a 6.207
_cell_length_b 6.207
_cell_length_c 6.207
_cell_angle_alpha 102.41
_cell_angle_beta 102.41
_cell_angle_gamma 124.76
loop_
_atom_site_label
_atom_site_type_symbol
_atom_site_fract_x
_atom_site_fract_y
_atom_site_fract_z
Hf1 Hf 0.087 0.625 0.962
Hf2 Hf 0.375 0.337 0.462
Hf3 Hf 0.663 0.125 0.038
Hf4 Hf 0.875 0.913 0.538
Sn1 Sn 0.250 0.750 0.500
Sn2 Sn 0.500 0.500 0.000
Mo1 Mo 0.000 0.000 0.000
Mo2 Mo 0.750 0.250 0.500
# DOS(E_F) (states/eV/atom): 1.12
# Volume (Å³/atom): 21.76
# Calculated formation energy (meV per atom): 425
# Total magnetization (μB per formula unit): 0.000
# Symmetry: I-42d